# 1
Density functional theory data (GGA-PBE) for a relaxed structure of Ca2CoBP.

Geometry as POSCAR:
```
Ca2CoBP
1.0
5.376 0.000 0.000
0.000 5.376 0.000
0.000 0.000 4.040
Ca Co B P
2 1 1 1
Direct
0.000 0.500 0.000 Ca
0.500 0.000 0.000 Ca
0.000 0.000 0.500 Co
0.500 0.500 0.500 B
0.000 0.000 0.000 P
```

Summary:
Space group: P4/mmm
Raw total energy (eV/atom): -4.27
Energy of formation from the pure elements (meV/atom): 365

# 2
Density functional theory data (GGA-PBE) for a relaxed structure of CaCoBPd2.

Geometry as POSCAR:
```
CaCoBPd2
1.0
4.304 0.000 0.000
0.000 4.304 0.000
0.000 0.000 3.963
Ca Co B Pd
1 1 1 2
Direct
0.000 0.000 0.000 Ca
0.500 0.500 0.000 Co
0.500 0.500 0.500 B
0.000 0.500 0.500 Pd
0.500 0.000 0.500 Pd
```

Summary:
Space group: P4/mmm
Raw total energy (eV/atom): -5.60
Energy of formation from the pure elements (meV/atom): -368

# 3
Density functional theory data (GGA-PBE) for a relaxed structure of Ca2CoB2Rh5.

Geometry as POSCAR:
```
Ca2CoB2Rh5
1.0
9.721 0.000 0.000
0.000 9.721 0.000
0.000 0.000 2.963
Ca Co B Rh
4 2 4 10
Direct
0.177 0.323 0.000 Ca
0.323 0.823 0.000 Ca
0.677 0.177 0.000 Ca
0.823 0.677 0.000 Ca
0.000 0.000 0.000 Co
0.500 0.500 0.000 Co
0.124 0.624 0.000 B
0.376 0.124 0.000 B
0.624 0.876 0.000 B
0.876 0.376 0.000 B
0.000 0.500 0.500 Rh
0.069 0.780 0.500 Rh
0.220 0.069 0.500 Rh
0.280 0.569 0.500 Rh
0.431 0.280 0.500 Rh
0.500 0.000 0.500 Rh
0.569 0.720 0.500 Rh
0.720 0.431 0.500 Rh
0.780 0.931 0.500 Rh
0.931 0.220 0.500 Rh
```

Summary:
Space group: P4/mbm
Raw total energy (eV/atom): -6.53
Energy of formation from the pure elements (meV/atom): -404

# 4
Density functional theory data (GGA-PBE) for a relaxed structure of CaCoB2Rh.

Geometry as POSCAR:
```
CaCoB2Rh
1.0
-1.868 1.868 4.920
1.868 -1.868 4.920
1.868 1.868 -4.920
Ca Co B Rh
1 1 2 1
Direct
0.000 0.000 0.000 Ca
0.750 0.250 0.500 Co
0.336 0.336 0.000 B
0.664 0.664 0.000 B
0.250 0.750 0.500 Rh
```

Summary:
Space group: I-4m2
Raw total energy (eV/atom): -6.39
Energy of formation from the pure elements (meV/atom): -428